1.
# NdInBi PBE-GGA optimized geometry
# - D(E_F) (states/eV per atom) = 1.259
# - electronic total energy (eV/cell) = -12.5
# - crystal system = tetragonal
# - formation enthalpy at 0 K (meV per atom) = -374
data_NdInBi
_chemical_formula_sum 'Nd1 In1 Bi1'
_cell_length_a 4.031
_cell_length_b 4.031
_cell_length_c 6.196
_cell_angle_alpha 108.98
_cell_angle_beta 108.98
_cell_angle_gamma 90.00
_symmetry_space_group_name_H-M 'P 1'
_symmetry_Int_Tables_number 1
_symmetry_space_group_name_Hall 'P 1'
loop_
_atom_site_label
_atom_site_type_symbol
_atom_site_fract_x
_atom_site_fract_y
_atom_site_fract_z
Nd1 Nd 0.284 0.284 0.568
Bi1 Bi 0.602 0.602 0.205
In1 In 0.964 0.964 0.927

2.
# AcNd6In5 PBE-GGA optimized geometry
# - D(E_F) (states/eV per atom) = 1.107
# - electronic total energy (eV/cell) = -50.7
# - crystal system = orthorhombic
# - formation enthalpy at 0 K (meV per atom) = -356
data_AcNd6In5
_chemical_formula_sum 'Ac1 Nd6 In5'
_cell_length_a 10.404
_cell_length_b 5.183
_cell_length_c 8.273
_cell_angle_alpha 71.74
_cell_angle_beta 81.02
_cell_angle_gamma 60.12
_symmetry_space_group_name_H-M 'P 1'
_symmetry_Int_Tables_number 1
_symmetry_space_group_name_Hall 'P 1'
loop_
_atom_site_label
_atom_site_type_symbol
_atom_site_fract_x
_atom_site_fract_y
_atom_site_fract_z
Ac1 Ac 0.000 0.000 0.000
Nd1 Nd 0.740 0.087 0.346
Nd2 Nd 0.260 0.567 0.346
Nd3 Nd 0.272 0.228 0.000
Nd4 Nd 0.728 0.772 0.000
Nd5 Nd 0.740 0.433 0.654
Nd6 Nd 0.260 0.913 0.654
In1 In 0.500 0.169 0.663
In2 In 0.000 0.343 0.314
In3 In 0.500 0.500 0.000
In4 In 0.000 0.657 0.686
In5 In 0.500 0.831 0.337

3.
# MgTl2Ru PBE-GGA optimized geometry
# - D(E_F) (states/eV per atom) = 0.801
# - electronic total energy (eV/cell) = -14.1
# - energy relative to the lowest polymorph listed for this composition (eV per atom) = 0.152
# - crystal system = cubic
# - formation enthalpy at 0 K (meV per atom) = 376
data_MgTl2Ru
_chemical_formula_sum 'Mg1 Tl2 Ru1'
_cell_length_a 4.834
_cell_length_b 4.834
_cell_length_c 4.834
_cell_angle_alpha 60.00
_cell_angle_beta 60.00
_cell_angle_gamma 60.00
_symmetry_space_group_name_H-M 'P 1'
_symmetry_Int_Tables_number 1
_symmetry_space_group_name_Hall 'P 1'
loop_
_atom_site_label
_atom_site_type_symbol
_atom_site_fract_x
_atom_site_fract_y
_atom_site_fract_z
Ru1 Ru 0.500 0.500 0.500
Tl1 Tl 0.250 0.250 0.250
Tl2 Tl 0.750 0.750 0.750
Mg1 Mg 0.000 0.000 0.000

4.
# TmTa4N8 PBE-GGA optimized geometry
# - D(E_F) (states/eV per atom) = 0.460
# - electronic total energy (eV/cell) = -130.0
# - crystal system = trigonal
# - raw formation energy (meV/atom) = -883
data_TmTa4N8
_chemical_formula_sum 'Tm1 Ta4 N8'
_cell_length_a 6.213
_cell_length_b 6.213
_cell_length_c 6.583
_cell_angle_alpha 90.00
_cell_angle_beta 118.16
_cell_angle_gamma 120.00
_symmetry_space_group_name_H-M 'P 1'
_symmetry_Int_Tables_number 1
_symmetry_space_group_name_Hall 'P 1'
loop_
_atom_site_label
_atom_site_type_symbol
_atom_site_fract_x
_atom_site_fract_y
_atom_site_fract_z
Tm1 Tm 0.000 0.500 0.500
Ta1 Ta 0.000 0.000 0.000
Ta2 Ta 0.000 0.500 0.000
Ta3 Ta 0.500 0.500 0.000
Ta4 Ta 0.500 0.000 0.000
N1 N 0.458 0.729 0.187
N2 N 0.542 0.271 0.813
N3 N 0.473 0.236 0.203
N4 N 0.034 0.270 0.797
N5 N 0.527 0.764 0.797
N6 N 0.034 0.764 0.797
N7 N 0.966 0.236 0.203
N8 N 0.966 0.730 0.203

5.
# Mg2ScHg PBE-GGA optimized geometry
# - D(E_F) (states/eV per atom) = 0.583
# - electronic total energy (eV/cell) = -10.5
# - crystal system = tetragonal
# - formation enthalpy at 0 K (meV per atom) = -177
data_Mg2ScHg
_chemical_formula_sum 'Mg2 Sc1 Hg1'
_cell_length_a 3.600
_cell_length_b 3.600
_cell_length_c 6.796
_cell_angle_alpha 90.00
_cell_angle_beta 90.00
_cell_angle_gamma 90.00
_symmetry_space_group_name_H-M 'P 1'
_symmetry_Int_Tables_number 1
_symmetry_space_group_name_Hall 'P 1'
loop_
_atom_site_label
_atom_site_type_symbol
_atom_site_fract_x
_atom_site_fract_y
_atom_site_fract_z
Sc1 Sc 0.000 0.000 0.512
Mg1 Mg 0.000 0.000 0.995
Mg2 Mg 0.500 0.500 0.243
Hg1 Hg 0.500 0.500 0.750

6.
# Sm7Ir2Pt2 PBE-GGA optimized geometry
# - D(E_F) (states/eV per atom) = 0.911
# - electronic total energy (eV/cell) = -71.1
# - energy relative to the lowest polymorph listed for this composition (eV per atom) = 0.000
# - crystal system = orthorhombic
# - formation enthalpy at 0 K (meV per atom) = -754
data_Sm7Ir2Pt2
_chemical_formula_sum 'Sm7 Ir2 Pt2'
_cell_length_a 3.998
_cell_length_b 9.249
_cell_length_c 9.249
_cell_angle_alpha 61.48
_cell_angle_beta 77.52
_cell_angle_gamma 77.52
_symmetry_space_group_name_H-M 'P 1'
_symmetry_Int_Tables_number 1
_symmetry_space_group_name_Hall 'P 1'
loop_
_atom_site_label
_atom_site_type_symbol
_atom_site_fract_x
_atom_site_fract_y
_atom_site_fract_z
Sm1 Sm 0.809 0.088 0.294
Sm2 Sm 0.870 0.391 0.868
Sm3 Sm 0.500 0.998 0.002
Sm4 Sm 0.614 0.493 0.278
Sm5 Sm 0.386 0.722 0.507
Sm6 Sm 0.191 0.706 0.912
Sm7 Sm 0.130 0.132 0.609
Ir1 Ir 0.742 0.857 0.658
Ir2 Ir 0.258 0.342 0.143
Pt1 Pt 0.000 0.777 0.223
Pt2 Pt 0.500 0.349 0.651

Calculated volume across the listed records, respectively: 89.4 367.4 79.9 184.5 88.1 290.8 Å³/cell.